Pr5Tl2Ru: relaxed, GGA-PBE.

Calculated values
Calculated volume, Å³ per cell: 495.8
Total magnetization, Bohr magnetons per cell: 0.00
E_tot, eV/f.u.: -40.322

Unit cell a=8.169 b=12.546 c=4.838 alpha=90.00 beta=90.00 gamma=90.00
Space group Pbam (No. 55)
Unique sites:
Pr 0.000 0.000 0.000 [2 per cell]
Pr 0.138 0.299 0.000 [4 per cell]
Pr 0.184 0.569 0.500 [4 per cell]
Tl 0.075 0.830 0.500 [4 per cell]
Ru 0.000 0.500 0.000 [2 per cell]